## BaNiTe2 (GGA-PBE)

Data for a relaxed structure of BaNiTe2.

Geometry as CIF:
```
data_BaNiTe2
_chemical_formula_sum 'Ba4 Ni4 Te8'
_space_group_name_H-M_alt 'F m -3 m'
_space_group_IT_number 225
_space_group_name_Hall '-F 4 2 3'
_cell_length_a 7.802
_cell_length_b 7.802
_cell_length_c 7.802
_cell_angle_alpha 90.00
_cell_angle_beta 90.00
_cell_angle_gamma 90.00
loop_
_atom_site_label
_atom_site_fract_x
_atom_site_fract_y
_atom_site_fract_z
_atom_site_occupancy
Ba1 0.000 0.000 0.000 1
Ni1 0.000 0.000 0.500 1
Te1 0.250 0.250 0.250 1
```

Properties
- raw formation energy (eV/atom) = -0.191
- Fermi-level density of states (states/eV per atom) = 1.845
- magnetic moment (μB per formula unit) = 1.59
- V (Å³/cell) = 475.0

## TmZr4Rh5 (GGA-PBE)

Data for a relaxed structure of TmZr4Rh5.

Geometry as CIF:
```
data_TmZr4Rh5
_chemical_formula_sum 'Tm1 Zr4 Rh5'
_space_group_name_H-M_alt 'P 4/m m m'
_space_group_IT_number 123
_space_group_name_Hall '-P 4 2'
_cell_length_a 3.319
_cell_length_b 3.319
_cell_length_c 16.566
_cell_angle_alpha 90.00
_cell_angle_beta 90.00
_cell_angle_gamma 90.00
loop_
_atom_site_label
_atom_site_fract_x
_atom_site_fract_y
_atom_site_fract_z
_atom_site_occupancy
Tm1 0.000 0.000 0.000 1
Zr1 0.000 0.000 0.203 1
Zr2 0.000 0.000 0.401 1
Rh1 0.500 0.500 0.108 1
Rh2 0.500 0.500 0.302 1
Rh3 0.500 0.500 0.500 1
```

Properties
- Fermi-level density of states (states/eV per atom) = 0.621
- magnetic moment (μB per formula unit) = 0.00
- E_form (eV/f.u.) = -8.1
- V (Å³/cell) = 182.5

## PmZnAg (GGA-PBE)

Data for a relaxed structure of PmZnAg.

Geometry as CIF:
```
data_PmZnAg
_chemical_formula_sum 'Pm2 Zn2 Ag2'
_space_group_name_H-M_alt 'I 4 m m'
_space_group_IT_number 107
_space_group_name_Hall 'I 4 -2'
_cell_length_a 3.638
_cell_length_b 3.638
_cell_length_c 10.061
_cell_angle_alpha 90.00
_cell_angle_beta 90.00
_cell_angle_gamma 90.00
loop_
_atom_site_label
_atom_site_fract_x
_atom_site_fract_y
_atom_site_fract_z
_atom_site_occupancy
Pm1 0.000 0.000 0.000 1
Zn1 0.000 0.000 0.681 1
Ag1 0.000 0.000 0.307 1
```

Properties
- Fermi-level density of states (states/eV per atom) = 0.457
- magnetic moment (μB per formula unit) = 0.01
- E_form (eV/f.u.) = -0.6
- V (Å³/cell) = 133.1
- excess energy over the best structure of this formula in the dataset (meV/atom) = 108.8

## Ca3Tb3MgS8 (GGA-PBE)

Data for a relaxed structure of Ca3Tb3MgS8.

Geometry as CIF:
```
data_Ca3Tb3MgS8
_chemical_formula_sum 'Ca9 Tb9 Mg3 S24'
_space_group_name_H-M_alt 'R -3 m'
_space_group_IT_number 166
_space_group_name_Hall '-R 3 2"'
_cell_length_a 7.8670
_cell_length_b 7.8670
_cell_length_c 19.6310
_cell_angle_alpha 90.00
_cell_angle_beta 90.00
_cell_angle_gamma 120.00
loop_
_atom_site_label
_atom_site_fract_x
_atom_site_fract_y
_atom_site_fract_z
_atom_site_occupancy
Ca1 0.0000 0.5000 0.0000 1
Tb1 0.0000 0.5000 0.5000 1
Mg1 0.0000 0.0000 0.5000 1
S1 0.0000 0.0000 0.2482 1
S2 0.0111 0.5055 0.2440 1
```

Properties
- raw formation energy (eV/atom) = -1.994
- Fermi-level density of states (states/eV per atom) = 0.252
- magnetic moment (μB per formula unit) = 0.00
- V (Å³/cell) = 1052.2

## Pr2ZnCu3Sn4 (GGA-PBE)

Data for a relaxed structure of Pr2ZnCu3Sn4.

Geometry as CIF:
```
data_Pr2ZnCu3Sn4
_chemical_formula_sum 'Pr2 Zn1 Cu3 Sn4'
_space_group_name_H-M_alt 'P -4 m 2'
_space_group_IT_number 115
_cell_length_a 4.453
_cell_length_b 4.453
_cell_length_c 11.046
_cell_angle_alpha 90.00
_cell_angle_beta 90.00
_cell_angle_gamma 90.00
loop_
_space_group_symop_operation_xyz
'x,y,z'
'y,-x,-z'
'-x,-y,z'
'-y,x,-z'
'-x,y,z'
'-y,-x,-z'
'x,-y,z'
'y,x,-z'
loop_
_atom_site_label
_atom_site_fract_x
_atom_site_fract_y
_atom_site_fract_z
_atom_site_occupancy
Pr1 0.000 0.500 0.245 1
Zn1 0.500 0.500 0.000 1
Cu1 0.000 0.000 0.000 1
Cu2 0.000 0.500 0.635 1
Sn1 0.000 0.000 0.500 1
Sn2 0.000 0.500 0.864 1
Sn3 0.500 0.500 0.500 1
```

Properties
- Fermi-level density of states (states/eV per atom) = 0.189
- magnetic moment (μB per formula unit) = 0.00
- E_form (eV/f.u.) = -4.2
- V (Å³/cell) = 219.0

## U2ReBi (GGA-PBE)

Data for a relaxed structure of U2ReBi.

Geometry as CIF:
```
data_U2ReBi
_chemical_formula_sum 'U6 Re3 Bi3'
_space_group_name_H-M_alt 'R -3 m'
_space_group_IT_number 166
_space_group_name_Hall '-R 3 2"'
_cell_length_a 3.1621
_cell_length_b 3.1621
_cell_length_c 30.9611
_cell_angle_alpha 90.00
_cell_angle_beta 90.00
_cell_angle_gamma 120.00
loop_
_atom_site_label
_atom_site_fract_x
_atom_site_fract_y
_atom_site_fract_z
_atom_site_occupancy
U1 0.0000 0.0000 0.2384 1
Re1 0.0000 0.0000 0.5000 1
Bi1 0.0000 0.0000 0.0000 1
```

Properties
- Fermi-level density of states (states/eV per atom) = 2.566
- magnetic moment (μB per formula unit) = 3.06
- E_form (eV/f.u.) = 1.3
- V (Å³/cell) = 268.1
- excess energy over the best structure of this formula in the dataset (meV/atom) = 99.9

Which formula does entry 5 have? Pr2ZnCu3Sn4

Which value of Fermi-level density of states does entry 4 give? 0.252 states/eV per atom

magnetic moment of number 3 (PmZnAg)? 0.01 μB per formula unit